Entry 1:
An optimized crystal structure of Na2TaV2O6. Source: the Alexandria database, functional PBE with a Hubbard U.

Output
VASP energy in eV per atom: -7.58
Space-group type: C2/m
Crystal system: monoclinic

CIF file:
```
data_Na2TaV2O6
_symmetry_space_group_name_H-M 'P 1'
_symmetry_Int_Tables_number 1
_cell_length_a 5.2815
_cell_length_b 5.2815
_cell_length_c 5.8865
_cell_angle_alpha 99.57
_cell_angle_beta 99.57
_cell_angle_gamma 117.59
loop_
_symmetry_equiv_pos_as_xyz
'x,y,z'
loop_
_atom_site_label
_atom_site_fract_x
_atom_site_fract_y
_atom_site_fract_z
Na1 0.1789 0.8211 0.0000
Na2 0.8211 0.1789 0.0000
Ta1 0.0000 0.0000 0.5000
V1 0.3427 0.6573 0.5000
V2 0.6573 0.3427 0.5000
O1 0.0561 0.3843 0.6921
O2 0.2387 0.2387 0.2978
O3 0.3843 0.0561 0.6921
O4 0.6157 0.9439 0.3079
O5 0.7613 0.7613 0.7022
O6 0.9439 0.6157 0.3079
```

***

Entry 2:
An optimized crystal structure of Na8Ta7VO24. Source: the Alexandria database, functional PBE with a Hubbard U.

Output
VASP energy in eV per atom: -8.03
Space-group type: Pm-3m
Crystal system: cubic

CIF file:
```
data_Na8Ta7VO24
_symmetry_space_group_name_H-M 'P 1'
_symmetry_Int_Tables_number 1
_cell_length_a 7.9194
_cell_length_b 7.9194
_cell_length_c 7.9194
_cell_angle_alpha 90.00
_cell_angle_beta 90.00
_cell_angle_gamma 90.00
loop_
_symmetry_equiv_pos_as_xyz
'x,y,z'
loop_
_atom_site_label
_atom_site_fract_x
_atom_site_fract_y
_atom_site_fract_z
Na1 0.2438 0.2438 0.2438
Na2 0.2438 0.2438 0.7562
Na3 0.2438 0.7562 0.2438
Na4 0.2438 0.7562 0.7562
Na5 0.7562 0.2438 0.2438
Na6 0.7562 0.2438 0.7562
Na7 0.7562 0.7562 0.2438
Na8 0.7562 0.7562 0.7562
Ta1 0.0000 0.0000 0.5000
Ta2 0.0000 0.5000 0.0000
Ta3 0.0000 0.5000 0.5000
Ta4 0.5000 0.0000 0.0000
Ta5 0.5000 0.0000 0.5000
Ta6 0.5000 0.5000 0.0000
Ta7 0.5000 0.5000 0.5000
V1 0.0000 0.0000 0.0000
O1 0.0000 0.0000 0.2436
O2 0.0000 0.0000 0.7564
O3 0.0000 0.2436 0.0000
O4 0.0000 0.2493 0.5000
O5 0.0000 0.5000 0.2493
O6 0.0000 0.5000 0.7507
O7 0.0000 0.7507 0.5000
O8 0.0000 0.7564 0.0000
O9 0.2436 0.0000 0.0000
O10 0.2493 0.0000 0.5000
O11 0.2493 0.5000 0.0000
O12 0.2495 0.5000 0.5000
O13 0.5000 0.0000 0.2493
O14 0.5000 0.0000 0.7507
O15 0.5000 0.2493 0.0000
O16 0.5000 0.2495 0.5000
O17 0.5000 0.5000 0.2495
O18 0.5000 0.5000 0.7505
O19 0.5000 0.7507 0.0000
O20 0.5000 0.7505 0.5000
O21 0.7507 0.0000 0.5000
O22 0.7507 0.5000 0.0000
O23 0.7505 0.5000 0.5000
O24 0.7564 0.0000 0.0000
```